The following is a PBE calculation of a relaxed KNiAs crystal, from Alexandria via LeMat-Bulk.

Values from the calculation:
SG: No. 216
DFT total energy, eV/atom: -2.61
Total magnetization, μB per atom: 0.144
Formation energy, meV per atom: 1238

Lattice parameters (Å, degrees): 6.854 6.854 6.854 90.00 90.00 90.00
Fractional positions:
K: 0.000 0.000 0.000
K: 0.000 0.500 0.500
K: 0.500 0.000 0.500
K: 0.500 0.500 0.000
Ni: 0.250 0.250 0.250
Ni: 0.250 0.750 0.750
Ni: 0.750 0.250 0.750
Ni: 0.750 0.750 0.250
As: 0.250 0.250 0.750
As: 0.250 0.750 0.250
As: 0.750 0.250 0.250
As: 0.750 0.750 0.750